Record 1
Below is TmZn2Ru after structural relaxation, with properties calculated at the PBE level.

The space group is P4/mmm (No. 123) and the conventional cell measures 3.427, 3.427 and 5.830 Å, with angles of 90.00, 90.00 and 90.00 degrees. The asymmetric unit holds Tm at (0.000, 0.000, 0.000), Zn at (0.500, 0.500, 0.289) and Ru at (0.000, 0.000, 0.500).

Its calculated formation energy is -4.73 kcal/mol of atoms.



Record 2
Below is Cu2HgI4 after structural relaxation, with properties calculated at the PBE level.

The space group is I-42m (No. 121) and the conventional cell measures 6.140, 6.140 and 12.920 Å, with angles of 90.00, 90.00 and 90.00 degrees. The asymmetric unit holds Cu at (0.000, 0.500, 0.250), Hg at (0.000, 0.000, 0.000) and I at (0.235, 0.235, 0.365).

The calculation puts the raw formation energy at -0.22 eV/atom.



Record 3
Below is Lu2MnAl after structural relaxation, with properties calculated at the PBE level.

The space group is P4/mmm (No. 123) and the conventional cell measures 3.475, 3.475 and 7.067 Å, with angles of 90.00, 90.00 and 90.00 degrees. The asymmetric unit holds Lu at (0.000, 0.000, 0.238), Mn at (0.500, 0.500, 0.000) and Al at (0.500, 0.500, 0.500).

The relative energy among the computed polymorphs is 0.0000 eV per atom. Its calculated formation energy is -3.45 kcal/mol of atoms.



Record 4
Below is Pm2Al4GaPd3 after structural relaxation, with properties calculated at the PBE level.

The space group is P-4m2 (No. 115) and the conventional cell measures 4.303, 4.303 and 10.466 Å, with angles of 90.00, 90.00 and 90.00 degrees. The asymmetric unit holds Pm at (0.000, 0.500, 0.248), Al at (0.000, 0.000, 0.500), Al at (0.000, 0.500, 0.863), Al at (0.500, 0.500, 0.500), Ga at (0.500, 0.500, 0.000), Pd at (0.000, 0.000, 0.000) and Pd at (0.000, 0.500, 0.627).

Its calculated formation energy is -18.18 kcal/mol of atoms.



Record 5
Below is MnSbRu2 after structural relaxation, with properties calculated at the PBE level.

The space group is R-3m (No. 166, hexagonal axes) and the conventional cell measures 3.0287, 3.0287 and 24.3052 Å, with angles of 90.00, 90.00 and 120.00 degrees. The asymmetric unit holds Mn at (0.0000, 0.0000, 0.0000), Sb at (0.0000, 0.0000, 0.5000) and Ru at (0.0000, 0.0000, 0.2531).

The calculation puts the raw formation energy at 0.33 eV/atom.



Record 6
Below is SmHo5 after structural relaxation, with properties calculated at the PBE level.

The space group is Cmmm (No. 65) and the conventional cell measures 5.004, 15.019 and 5.007 Å, with angles of 90.00, 90.00 and 90.00 degrees. The asymmetric unit holds Sm at (0.000, 0.000, 0.000), Ho at (0.000, 0.167, 0.500), Ho at (0.000, 0.333, 0.000) and Ho at (0.000, 0.500, 0.500).

The relative energy among the computed polymorphs is 0.0006 eV per atom. Its calculated formation energy is 0.46 kcal/mol of atoms.



The evaluated size of the total moment for the records listed, in turn: 0.000, 0.000, 2.637, 0.000, 7.911, 0.000 Bohr magnetons per cell.